Record 1
## Li4LaPu (PBE)

Data for crystalline Li4LaPu at its relaxed geometry.

a = 5.9047 Å, b = 5.9047 Å, c = 5.9047 Å
α = 60.00°, β = 60.00°, γ = 60.00°
Last column: nearest neighbours and their distance in Å.
Atoms (fractional coordinates):
1 La 0.0000 0.0000 0.0000  12 Li 3.46, 4 Pu 3.62
2 Pu 0.2500 0.2500 0.2500  12 Li 3.46, 4 La 3.62
3 Li 0.6251 0.6251 0.1247  6 Li 2.95
4 Li 0.1247 0.6251 0.6251  6 Li 2.95
5 Li 0.6251 0.6251 0.6251  6 Li 2.95
6 Li 0.6251 0.1247 0.6251  6 Li 2.95

Properties
Mass density   4.685 g/cm3
Symmetry   F-43m (216)
Crystal system   cubic
N(E_F)   15.64 states/eV/f.u.
Energy of formation from the pure elements   0.210 eV per atom

Record 2
## LiLa2Pu (PBE)

Data for crystalline LiLa2Pu at its relaxed geometry.

a = 3.5777 Å, b = 3.5777 Å, c = 11.4901 Å
α = 81.04°, β = 81.04°, γ = 60.00°
Last column: nearest neighbours and their distance in Å.
Atoms (fractional coordinates):
1 Li 0.6672 0.6672 0.9983  6 La 3.53-3.57, 6 Li 3.58
2 La 0.0851 0.0851 0.7447  3 Pu 3.44, 3 Li 3.53, 6 La 3.58
3 La 0.2482 0.2482 0.2555  3 Pu 3.47, 3 Li 3.57, 6 La 3.58
4 Pu 0.4995 0.4995 0.5016  6 La 3.44-3.47, 6 Pu 3.58

Properties
Mass density   7.008 g/cm3
E above lowest polymorph   21 meV per atom
Symmetry   R3m (160)
Crystal system   trigonal
N(E_F)   8.96 states/eV/f.u.
Energy of formation from the pure elements   0.157 eV per atom

Record 3
## LiLa2Pu (PBE)

Data for crystalline LiLa2Pu at its relaxed geometry.

a = 3.5443 Å, b = 3.5443 Å, c = 9.5226 Å
α = 90.00°, β = 90.00°, γ = 90.00°
Last column: nearest neighbours and their distance in Å.
Atoms (fractional coordinates):
1 La 0.0000 0.0000 0.2514  4 Pu 3.45, 4 Li 3.47, 4 La 3.54
2 La 0.0000 0.0000 0.7486  4 Pu 3.45, 4 Li 3.47, 4 La 3.54
3 Li 0.5000 0.5000 0.0000  8 La 3.47, 4 Li 3.54
4 Pu 0.5000 0.5000 0.5000  8 La 3.45, 4 Pu 3.54

Properties
Mass density   7.340 g/cm3
E above lowest polymorph   0 meV per atom
Symmetry   P4/mmm (123)
Crystal system   tetragonal
N(E_F)   9.31 states/eV/f.u.
Energy of formation from the pure elements   0.137 eV per atom